1.
The following is a DFT calculation (PBE) of a relaxed KRePd crystal.

abc: 3.678 3.678 11.700
angles: 90.00 90.00 90.00
Fractional positions:
1 Re 0.000 0.000 0.500
2 Re 0.500 0.500 0.500
3 K 0.000 0.500 0.167
4 K 0.500 0.000 0.833
5 Pd 0.000 0.500 0.669
6 Pd 0.500 0.000 0.331

Properties
- spin magnetization (μB/f.u.) = 0.00
- ΔH_f (0 K) (eV/atom) = 0.5528
- energy above the most stable polymorph in this dataset (meV/atom) = 207.6
- uncorrected energy (eV/atom) = -5.693

2.
The following is a DFT calculation (PBE) of a relaxed KRePd crystal.

abc: 2.840 3.955 12.948
angles: 89.98 83.80 90.00
Fractional positions:
1 Re 0.153 0.740 0.171
2 Re 0.878 0.240 0.081
3 K 0.520 0.740 0.696
4 K 0.453 0.240 0.368
5 Pd 0.951 0.240 0.862
6 Pd 0.408 0.740 0.964

Properties
- spin magnetization (μB/f.u.) = 0.00
- ΔH_f (0 K) (eV/atom) = 0.4322
- energy above the most stable polymorph in this dataset (meV/atom) = 87.1
- uncorrected energy (eV/atom) = -5.814

3.
The following is a DFT calculation (PBE) of a relaxed KRePd crystal.

abc: 2.737 6.476 7.115
angles: 82.08 107.94 85.04
Fractional positions:
1 Re 0.989 0.519 0.226
2 Re 0.659 0.294 0.988
3 K 0.687 0.767 0.773
4 K 0.963 0.047 0.442
5 Pd 0.824 0.407 0.607
6 Pd 0.324 0.907 0.107

Properties
- spin magnetization (μB/f.u.) = 0.00
- ΔH_f (0 K) (eV/atom) = 0.6209
- energy above the most stable polymorph in this dataset (meV/atom) = 275.8
- uncorrected energy (eV/atom) = -5.625

4.
The following is a DFT calculation (PBE) of a relaxed KRePd crystal.

abc: 2.769 6.425 7.991
angles: 94.32 79.53 95.79
Fractional positions:
1 Re 0.906 0.653 0.191
2 Re 0.624 0.358 0.037
3 K 0.287 0.660 0.698
4 K 0.935 0.161 0.395
5 Pd 0.209 0.167 0.784
6 Pd 0.567 0.940 0.037

Properties
- spin magnetization (μB/f.u.) = 0.00
- ΔH_f (0 K) (eV/atom) = 0.5937
- energy above the most stable polymorph in this dataset (meV/atom) = 248.6
- uncorrected energy (eV/atom) = -5.652

5.
The following is a DFT calculation (PBE) of a relaxed KRePd crystal.

abc: 6.672 4.320 5.193
angles: 90.00 81.49 90.00
Fractional positions:
1 Re 0.837 0.500 0.094
2 Re 0.862 0.500 0.580
3 K 0.371 0.500 0.703
4 K 0.233 0.000 0.218
5 Pd 0.726 0.000 0.362
6 Pd 0.741 0.000 0.859

Properties
- spin magnetization (μB/f.u.) = 0.00
- ΔH_f (0 K) (eV/atom) = 0.6593
- energy above the most stable polymorph in this dataset (meV/atom) = 314.1
- uncorrected energy (eV/atom) = -5.587

6.
The following is a DFT calculation (PBE) of a relaxed KRePd crystal.

abc: 4.603 4.603 4.603
angles: 60.00 60.00 60.00
Fractional positions:
1 Re 0.750 0.750 0.750
2 K 0.250 0.250 0.250
3 Pd 0.500 0.500 0.500

Properties
- spin magnetization (μB/f.u.) = 0.00
- ΔH_f (0 K) (eV/atom) = 1.9105
- energy above the most stable polymorph in this dataset (meV/atom) = 1565.4
- uncorrected energy (eV/atom) = -4.336

7.
The following is a DFT calculation (PBE) of a relaxed KRePd crystal.

abc: 2.775 6.187 8.517
angles: 106.48 78.01 80.56
Fractional positions:
1 Re 0.475 0.562 0.192
2 Re 0.436 0.201 0.020
3 K 0.608 0.785 0.653
4 K 0.901 0.176 0.412
5 Pd 0.004 0.383 0.823
6 Pd 0.022 0.833 0.044

Properties
- spin magnetization (μB/f.u.) = 0.00
- ΔH_f (0 K) (eV/atom) = 0.5650
- energy above the most stable polymorph in this dataset (meV/atom) = 219.9
- uncorrected energy (eV/atom) = -5.681

8.
The following is a DFT calculation (PBE) of a relaxed KRePd crystal.

abc: 4.198 4.198 11.144
angles: 90.00 90.00 120.00
Fractional positions:
1 Re 0.333 0.667 0.250
2 Re 0.667 0.333 0.750
3 K 0.000 0.000 0.000
4 K 0.000 0.000 0.500
5 Pd 0.333 0.667 0.750
6 Pd 0.667 0.333 0.250

Properties
- spin magnetization (μB/f.u.) = 0.47
- ΔH_f (0 K) (eV/atom) = 1.2620
- energy above the most stable polymorph in this dataset (meV/atom) = 916.9
- uncorrected energy (eV/atom) = -4.984